1.
Entry from the Alexandria database: a geometry-optimized PmErTe2O8 structure (GGA-PBE).

abc: 7.4304 7.4304 6.8858
angles: 90.00 90.00 90.00
Last column: nearest neighbours and their distance in Å.
Space group I-4m2 (No. 119)
One atom of each set of equivalent atoms:
Pm 0.0000 0.0000 0.0000 [2 per cell]  8 O 2.40-2.50
Er 0.0000 0.5000 0.2500 [2 per cell]  8 O 2.33-2.46
Te 0.0000 0.0000 0.5000 [2 per cell]  4 O 1.97
Te 0.0000 0.5000 0.7500 [2 per cell]  4 O 1.93
O 0.0000 0.1900 0.3002 [8 per cell]  1 Te 1.97
O 0.0000 0.3194 0.9506 [8 per cell]  1 Te 1.93

Output
Total energy (eV per atom): -6.5400

***

2.
Entry from the Alexandria database: a geometry-optimized Nd2YIn4 structure (GGA-PBE).

abc: 5.3134 5.3134 14.9785
angles: 90.00 90.00 90.00
Last column: nearest neighbours and their distance in Å.
Space group I4/mmm (No. 139)
One atom of each set of equivalent atoms:
Nd 0.0000 0.0000 0.2484 [4 per cell]  8 In 3.37-3.40, 4 Nd 3.76, 1 Y 3.77
Y 0.0000 0.0000 0.5000 [2 per cell]  8 In 3.13
In 0.0000 0.5000 0.1103 [8 per cell]  2 Y 3.13, 1 In 3.30, 4 Nd 3.37-3.40

Output
DFT formation energy (eV/atom): -0.332
Total energy (eV per atom): -4.1829

***

3.
Entry from the Alexandria database: a geometry-optimized BeReOF2 structure (GGA-PBE).

abc: 4.2304 4.2304 3.7770
angles: 90.00 90.00 90.00
Last column: nearest neighbours and their distance in Å.
Space group P4/mmm (No. 123)
One atom of each set of equivalent atoms:
Be 0.0000 0.0000 0.0000 [1 per cell]  8 F 2.84, 4 O 2.99
Re 0.5000 0.5000 0.5000 [1 per cell]  2 O 1.89
O 0.5000 0.5000 0.0000 [1 per cell]  2 Re 1.89
F 0.0000 0.5000 0.5000 [2 per cell]  2 Re 2.12

Output
Total energy (eV per atom): -5.4299

***

4.
Entry from the Alexandria database: a geometry-optimized AgMoC3 structure (GGA-PBE).

abc: 4.0209 4.0209 4.0209
angles: 90.00 90.00 90.00
Last column: nearest neighbours and their distance in Å.
Space group Pm-3m (No. 221)
One atom of each set of equivalent atoms:
Ag 0.0000 0.0000 0.0000 [1 per cell]  6 C 2.01
Mo 0.5000 0.5000 0.5000 [1 per cell]  12 C 2.84
C 0.0000 0.0000 0.5000 [3 per cell]  2 Ag 2.01

Output
DFT formation energy (eV/atom): 3.311
Total energy (eV per atom): -4.9598

***

5.
Entry from the Alexandria database: a geometry-optimized MoIrCl2 structure (GGA-PBE).

abc: 4.5405 4.5405 6.4443
angles: 90.00 90.00 90.00
Last column: nearest neighbours and their distance in Å.
Space group I-4m2 (No. 119)
One atom of each set of equivalent atoms:
Mo 0.0000 0.0000 0.0000 [2 per cell]  4 Cl 2.78, 4 Ir 2.78
Ir 0.0000 0.5000 0.2500 [2 per cell]  4 Cl 2.78, 4 Mo 2.78
Cl 0.0000 0.0000 0.5000 [2 per cell]  4 Cl 2.78, 4 Ir 2.78
Cl 0.0000 0.5000 0.7500 [2 per cell]  4 Cl 2.78, 4 Mo 2.78

Output
Total energy (eV per atom): -5.0813

***

6.
Entry from the Alexandria database: a geometry-optimized Y2Ge3Au2 structure (GGA-PBE).

abc: 4.3797 18.8634 7.0765
angles: 90.00 90.00 90.00
Last column: nearest neighbours and their distance in Å.
Space group Cmcm (No. 63)
One atom of each set of equivalent atoms:
Y 0.0000 0.0499 0.2500 [4 per cell]  9 Ge 3.15-3.28
Y 0.0000 0.1523 0.7500 [4 per cell]  6 Ge 3.08-3.24, 6 Au 3.12-3.32
Ge 0.0000 0.2210 0.2500 [4 per cell]  6 Au 2.69-2.70
Ge 0.0000 0.4397 0.0680 [8 per cell]  2 Ge 2.47-2.58, 1 Au 2.57
Au 0.0000 0.3108 0.5472 [8 per cell]  4 Ge 2.57-2.70, 1 Au 2.87

Output
DFT formation energy (eV/atom): -0.633
Total energy (eV per atom): -5.3948

***

7.
Entry from the Alexandria database: a geometry-optimized TcNi2Hg structure (GGA-PBE).

abc: 2.9111 2.9111 6.7439
angles: 90.00 90.00 90.00
Last column: nearest neighbours and their distance in Å.
Space group P4mm (No. 99)
One atom of each set of equivalent atoms:
Tc 0.0000 0.0000 0.0000 [1 per cell]  5 Ni 2.48-2.72
Ni 0.0000 0.0000 0.5961 [1 per cell]  4 Ni 2.45, 1 Tc 2.72
Ni 0.5000 0.5000 0.7940 [1 per cell]  4 Ni 2.45, 4 Tc 2.48
Hg 0.5000 0.5000 0.3219 [1 per cell]  4 Ni 2.77, 4 Hg 2.91, 4 Tc 2.99

Output
DFT formation energy (eV/atom): 0.291
Total energy (eV per atom): -5.2665

***

8.
Entry from the Alexandria database: a geometry-optimized LaB2Rh3 structure (GGA-PBE).

abc: 9.1523 9.1523 3.5496
angles: 90.00 90.00 120.00
Last column: nearest neighbours and their distance in Å.
Space group P6/mmm (No. 191)
One atom of each set of equivalent atoms:
La 0.0000 0.0000 0.0000 [1 per cell]  6 B 2.91, 12 Rh 3.14
La 0.3333 0.6667 0.5000 [2 per cell]  6 B 2.96, 12 Rh 3.18-3.30
B 0.1836 0.3671 0.0000 [6 per cell]  6 Rh 2.30-2.52
Rh 0.0000 0.2835 0.5000 [6 per cell]  4 B 2.30
Rh 0.0000 0.5000 0.0000 [3 per cell]  4 B 2.52, 4 Rh 2.66

Output
DFT formation energy (eV/atom): -0.299
Total energy (eV per atom): -7.0219

***

Q: The highest total energy belongs to which entry?
A: Nd2YIn4

***

Q: Number 4 is which compound?
A: AgMoC3

***

Q: What is the formula in the first record?
A: PmErTe2O8

***

Q: What is the formula in the seventh record?
A: TcNi2Hg